! U6AsS5, optimized geometry, DFT PBE; values from VASP
&SYSTEM
  ibrav = 0, nat = 12, ntyp = 3
/
ATOMIC_SPECIES
U 238.03 U.upf
As 74.92 As.upf
S 32.06 S.upf
ATOMIC_POSITIONS crystal
U 0.071 0.413 0.742
U 0.240 0.240 0.251
U 0.413 0.071 0.742
U 0.587 0.929 0.258
U 0.760 0.760 0.749
U 0.929 0.587 0.258
As 0.500 0.500 0.000
S 0.000 0.000 0.500
S 0.168 0.832 0.000
S 0.340 0.660 0.500
S 0.660 0.340 0.500
S 0.832 0.168 0.000
CELL_PARAMETERS angstrom
3.316 -5.923 0.000
3.316 5.923 0.000
-2.356 0.000 6.409
! formation energy without anion corrections = -1.260 eV per atom
! density of states at the Fermi level = 2.1738 states/eV/atom

---

! Rb5NaAu4, optimized geometry, DFT PBE; values from VASP
&SYSTEM
  ibrav = 0, nat = 10, ntyp = 3
/
ATOMIC_SPECIES
Rb 85.47 Rb.upf
Na 22.99 Na.upf
Au 196.97 Au.upf
ATOMIC_POSITIONS crystal
Rb 0.000 0.000 0.000
Rb 0.000 0.000 0.182
Rb 0.000 0.000 0.362
Rb 0.000 0.000 0.638
Rb 0.000 0.000 0.818
Na 0.500 0.500 0.500
Au 0.500 0.500 0.093
Au 0.500 0.500 0.280
Au 0.500 0.500 0.720
Au 0.500 0.500 0.907
CELL_PARAMETERS angstrom
4.226 0.000 0.000
0.000 4.226 0.000
0.000 0.000 22.526
! raw total energy = -2.150 eV per atom
! density of states at the Fermi level = 0.1976 states/eV/atom

---

! Fe2PAu, optimized geometry, DFT PBE; values from VASP
&SYSTEM
  ibrav = 0, nat = 4, ntyp = 3
/
ATOMIC_SPECIES
Fe 55.84 Fe.upf
P 30.97 P.upf
Au 196.97 Au.upf
ATOMIC_POSITIONS crystal
Fe 0.120 0.000 0.307
Fe 0.880 0.000 0.693
P 0.500 0.500 0.500
Au 0.500 0.500 0.000
CELL_PARAMETERS angstrom
2.783 0.000 0.000
0.000 3.314 0.000
-1.010 0.000 5.767
! raw total energy = -6.367 eV per atom
! density of states at the Fermi level = 0.8667 states/eV/atom